Density functional theory data (PBE) for a relaxed structure of Nb12Zn3Ga.

Lattice parameters (Å, degrees): 5.199 5.199 10.345 90.00 90.00 90.00
Fractional positions:
Nb 0.000 0.000 0.124
Nb 0.000 0.000 0.374
Nb 0.000 0.000 0.626
Nb 0.000 0.000 0.876
Nb 0.251 0.500 0.000
Nb 0.251 0.500 0.500
Nb 0.500 0.251 0.250
Nb 0.500 0.251 0.750
Nb 0.500 0.749 0.250
Nb 0.500 0.749 0.750
Nb 0.749 0.500 0.000
Nb 0.749 0.500 0.500
Zn 0.000 0.500 0.250
Zn 0.000 0.500 0.750
Zn 0.500 0.000 0.000
Ga 0.500 0.000 0.500

Computed properties:
- Energy of formation: -0.8 eV/f.u.
- ρ: 8.199 g/cm³
- E: -8.029 eV per atom